# 1
La3Sm12Mg | PBE | optimized geometry

Cell and atoms, written as POSCAR:
```
La3Sm12Mg
1.0
5.129 0.000 0.000
0.000 5.129 0.000
0.000 0.000 20.554
La Sm Mg
3 12 1
Cartesian
0.000 0.000 0.000
0.000 0.000 5.208
0.000 0.000 15.346
0.000 2.565 2.602
0.000 2.565 7.801
0.000 2.565 12.753
0.000 2.565 17.952
2.565 0.000 2.602
2.565 0.000 7.801
2.565 0.000 12.753
2.565 0.000 17.952
2.565 2.565 0.000
2.565 2.565 5.269
2.565 2.565 10.277
2.565 2.565 15.285
0.000 0.000 10.277
```

Output
Space group   P4/mmm

# 2
LaSm14Mg | PBE | optimized geometry

Cell and atoms, written as POSCAR:
```
LaSm14Mg
1.0
10.245 0.000 0.000
0.000 5.096 5.096
0.000 -5.096 5.096
La Sm Mg
1 14 1
Cartesian
0.000 0.000 0.000
0.000 -2.542 7.644
0.000 2.542 7.644
2.544 0.000 2.560
2.549 -2.538 5.097
2.549 2.538 5.097
2.555 0.000 7.634
5.122 0.000 0.004
5.122 -2.546 2.549
5.122 2.546 2.549
5.122 0.000 5.095
7.695 -2.538 5.097
7.695 2.538 5.097
7.690 0.000 7.634
7.701 0.000 2.560
0.000 0.000 5.097
```

Output
Space group   Amm2

# 3
LaSm2Mg | PBE | optimized geometry

Cell and atoms, written as POSCAR:
```
LaSm2Mg
1.0
1.733 1.001 12.396
-1.733 1.001 12.396
0.000 -2.001 12.396
La Sm Mg
1 2 1
Cartesian
0.000 0.000 0.000
0.000 0.000 3.452
0.000 0.000 33.737
0.000 0.000 18.594
```

Output
Space group   R-3m

# 4
La5SmMg | PBE | optimized geometry

Cell and atoms, written as POSCAR:
```
La5SmMg
1.0
4.473 -4.389 0.000
4.473 4.389 0.000
-2.788 0.000 12.530
La Sm Mg
10 2 2
Cartesian
-0.217 1.189 7.121
-0.573 1.513 10.804
2.382 3.090 9.398
1.177 -1.189 0.856
0.821 -1.513 4.539
5.337 1.513 7.991
4.982 1.189 11.674
3.776 -3.090 3.133
6.731 -1.513 1.726
6.376 -1.189 5.409
3.776 0.259 3.133
2.382 -0.259 9.398
4.473 0.000 0.000
3.079 0.000 6.265
```

Output
Space group   C2/c

Taking the records one at a time from the top gives DFT formation energy values of 0.02, 0.01, 0.16, 0.08 eV/atom.
Taking the records one at a time from the top gives ρ values of 6.89, 7.08, 5.97, 5.87 g/cm3.